The following is a DFT calculation (PBE+U) of a geometry-optimized BaBMoO6 structure.

abc: 5.262 5.522 5.696
angles: 86.70 86.57 62.56
Space group P1 (No. 1)
Unique sites:
Ba: 0.000 0.000 0.000 (multiplicity 1)
B: 0.109 0.548 0.593 (multiplicity 1)
Mo: 0.601 0.672 0.482 (multiplicity 1)
O: 0.336 0.566 0.683 (multiplicity 1)
O: 0.374 0.976 0.331 (multiplicity 1)
O: 0.594 0.874 0.777 (multiplicity 1)
O: 0.673 0.411 0.284 (multiplicity 1)
O: 0.959 0.428 0.718 (multiplicity 1)
O: 0.978 0.688 0.388 (multiplicity 1)

Properties
mass density	3.9	g/cm3
total DFT energy (no corrections)	-7.00	eV/atom
total magnetic moment	1.02	μB per cell